Material: LiTiPd2
Method: DFT, PBE
State: relaxed

a = 6.7555 Å, b = 6.7555 Å, c = 5.5743 Å
α = 90.00°, β = 90.00°, γ = 90.00°
With the nearest neighbours (Å) after each atom.
Space group I-42d (No. 122)
One atom of each set of equivalent atoms:
Li: 0.0000 0.0000 0.0000  4 Pd 2.48
Ti: 0.0000 0.0000 0.5000  4 Pd 2.49, 2 Li 2.79
Pd: 0.2491 0.7500 0.1250  2 Li 2.48, 2 Ti 2.49

## Properties
Magnetic moment (μB/f.u.): 0.4
Energy relative to the elements (eV/f.u.): -0.8

---

Material: Tl2CdSb
Method: DFT, PBE
State: relaxed

a = 3.4546 Å, b = 4.3742 Å, c = 7.7335 Å
α = 90.00°, β = 90.00°, γ = 90.00°
With the nearest neighbours (Å) after each atom.
Space group Pmm2 (No. 25)
One atom of each set of equivalent atoms:
Tl: 0.0000 0.0000 0.0000  4 Sb 3.42, 6 Tl 3.45-3.60, 1 Cd 3.57
Tl: 0.5000 0.5000 0.2956  4 Cd 3.36, 6 Tl 3.45-3.60, 1 Sb 3.46
Cd: 0.0000 0.0000 0.5389  4 Sb 3.20, 5 Tl 3.36-3.57, 2 Cd 3.45
Sb: 0.5000 0.5000 0.7433  4 Cd 3.20, 5 Tl 3.42-3.46, 2 Sb 3.45

## Properties
Magnetic moment (μB/f.u.): 0.0
Distance to the lowest polymorph of the same formula (meV per atom): 24
ΔE_f (raw) (meV/atom): 30

---

The lowest magnetic moment belongs to which entry? Tl2CdSb

---

Among the records above, which one has the highest magnetic moment? LiTiPd2

---

Look up the magnetic moment of the second one. 0.0 μB/f.u.